# 1
An optimized crystal structure of Ba2HgAs, computed with PBE.

Cell lengths 7.122, 7.122, 7.122 Å; angles 142.99, 139.31, 56.17 degrees
Positions (direct):
As: 0.295 0.795 0.500
Hg: 0.460 0.460 0.000
Ba: 0.006 0.006 0.000
Ba: 0.739 0.239 0.500

Properties
- Energy: -11.44 eV per cell
- Energy above the most stable polymorph in this dataset: 146 meV per atom
- Volume: 35.2 Å³ per atom
- Density: 6.49 Mg/m³
- Density of states at the Fermi level: 2.3 states/eV per cell
- Magnetization: 0.44 μB per formula unit
- Calculated formation energy: -0.662 eV per atom

# 2
An optimized crystal structure of BaHgAs, computed with PBE.

Cell lengths 6.280, 6.280, 4.038 Å; angles 71.25, 71.25, 37.51 degrees
Positions (direct):
As: 0.019 0.019 0.981
Hg: 0.646 0.646 0.354
Ba: 0.335 0.335 0.665

Properties
- Energy: -8.20 eV per cell
- Energy above the most stable polymorph in this dataset: 221 meV per atom
- Volume: 30.4 Å³ per atom
- Density: 7.52 Mg/m³
- Density of states at the Fermi level: 2.5 states/eV per cell
- Magnetization: 0.00 μB per formula unit
- Calculated formation energy: -0.441 eV per atom

# 3
An optimized crystal structure of Ba2HgAs, computed with PBE.

Cell lengths 6.607, 6.607, 4.983 Å; angles 90.00, 90.00, 42.20 degrees
Positions (direct):
As: 0.706 0.706 0.874
Hg: 0.542 0.542 0.376
Ba: 0.994 0.994 0.876
Ba: 0.258 0.258 0.374

Properties
- Energy: -11.97 eV per cell
- Energy above the most stable polymorph in this dataset: 14 meV per atom
- Volume: 36.5 Å³ per atom
- Density: 6.25 Mg/m³
- Density of states at the Fermi level: 2.4 states/eV per cell
- Magnetization: 0.00 μB per formula unit
- Calculated formation energy: -0.793 eV per atom

# 4
An optimized crystal structure of Ba2HgAs, computed with PBE.

Cell lengths 8.933, 8.933, 7.636 Å; angles 54.20, 54.20, 90.00 degrees
Positions (direct):
As: 0.500 0.500 0.000
As: 0.250 0.750 0.500
Hg: 0.000 0.000 0.000
Hg: 0.750 0.250 0.500
Ba: 0.591 0.125 0.250
Ba: 0.159 0.625 0.250
Ba: 0.375 0.409 0.750
Ba: 0.875 0.841 0.750

Properties
- Energy: -22.31 eV per cell
- Energy above the most stable polymorph in this dataset: 218 meV per atom
- Volume: 42.8 Å³ per atom
- Density: 5.34 Mg/m³
- Density of states at the Fermi level: 8.1 states/eV per cell
- Magnetization: 0.95 μB per formula unit
- Calculated formation energy: -0.590 eV per atom

Among the records above, which one has the highest density?
BaHgAs